Record 1
Computed, not measured: a relaxed structure of Sm3IrS2 at the PBE level of DFT.

The structure in CIF format:
```
data_Sm3IrS2
_chemical_formula_sum 'Sm3 Ir1 S2'
_cell_length_a 4.078
_cell_length_b 4.078
_cell_length_c 9.099
_cell_angle_alpha 102.94
_cell_angle_beta 102.94
_cell_angle_gamma 90.03
_symmetry_space_group_name_H-M 'P 1'
_symmetry_Int_Tables_number 1
_symmetry_space_group_name_Hall 'P 1'
loop_
_atom_site_label
_atom_site_fract_x
_atom_site_fract_y
_atom_site_fract_z
Ir1 0.434 0.436 0.874
S1 0.763 0.764 0.530
Sm1 0.273 0.275 0.552
Sm2 0.595 0.597 0.196
S2 0.106 0.107 0.218
Sm3 0.934 0.936 0.874
```

## Properties
DOS at the Fermi energy   0.59 states/eV/atom
Total magnetic moment   0.00 Bohr magnetons per cell
Space group   No. 139
Formation energy (no corrections)   -1.5227 eV per atom

***

Record 2
Computed, not measured: a relaxed structure of MgSbF6 at the PBE level of DFT.

The structure in CIF format:
```
data_MgSbF6
_chemical_formula_sum 'Mg1 Sb1 F6'
_cell_length_a 5.126
_cell_length_b 5.126
_cell_length_c 5.173
_cell_angle_alpha 96.47
_cell_angle_beta 96.47
_cell_angle_gamma 119.34
_symmetry_space_group_name_H-M 'P 1'
_symmetry_Int_Tables_number 1
_symmetry_space_group_name_Hall 'P 1'
loop_
_atom_site_label
_atom_site_fract_x
_atom_site_fract_y
_atom_site_fract_z
F1 0.102 0.393 0.251
F2 0.898 0.607 0.749
F3 0.751 0.751 0.244
F4 0.393 0.102 0.251
F5 0.607 0.898 0.749
Mg1 0.000 0.000 0.000
F6 0.249 0.249 0.756
Sb1 0.500 0.500 0.500
```

## Properties
DOS at the Fermi energy   0.42 states/eV/atom
Energy above the most stable polymorph in this dataset   0.067 eV per atom
Total magnetic moment   0.54 Bohr magnetons per cell
Space group   No. 12
Formation energy (no corrections)   -2.6363 eV per atom

***

Record 3
Computed, not measured: a relaxed structure of Dy2TaSi4Pt3 at the PBE level of DFT.

The structure in CIF format:
```
data_Dy2TaSi4Pt3
_chemical_formula_sum 'Dy2 Ta1 Si4 Pt3'
_cell_length_a 4.160
_cell_length_b 4.160
_cell_length_c 10.319
_cell_angle_alpha 90.00
_cell_angle_beta 90.00
_cell_angle_gamma 90.00
_symmetry_space_group_name_H-M 'P 1'
_symmetry_Int_Tables_number 1
_symmetry_space_group_name_Hall 'P 1'
loop_
_atom_site_label
_atom_site_fract_x
_atom_site_fract_y
_atom_site_fract_z
Si1 0.000 0.500 0.354
Si2 0.500 0.500 0.000
Si3 0.000 0.000 0.000
Dy1 0.000 0.500 0.761
Pt1 0.000 0.500 0.121
Pt2 0.500 0.000 0.879
Ta1 0.500 0.500 0.500
Pt3 0.000 0.000 0.500
Dy2 0.500 0.000 0.239
Si4 0.500 0.000 0.646
```

## Properties
DOS at the Fermi energy   0.39 states/eV/atom
Total magnetic moment   0.00 Bohr magnetons per cell
Space group   No. 115
Formation energy (no corrections)   -0.9529 eV per atom

***

Record 4
Computed, not measured: a relaxed structure of TlInIO2 at the PBE level of DFT.

The structure in CIF format:
```
data_TlInIO2
_chemical_formula_sum 'Tl1 In1 I1 O2'
_cell_length_a 4.444
_cell_length_b 4.444
_cell_length_c 6.417
_cell_angle_alpha 90.00
_cell_angle_beta 90.00
_cell_angle_gamma 90.00
_symmetry_space_group_name_H-M 'P 1'
_symmetry_Int_Tables_number 1
_symmetry_space_group_name_Hall 'P 1'
loop_
_atom_site_label
_atom_site_fract_x
_atom_site_fract_y
_atom_site_fract_z
In1 0.500 0.500 0.500
Tl1 0.000 0.000 0.000
I1 0.000 0.000 0.500
O1 0.000 0.500 0.000
O2 0.500 0.000 0.000
```

## Properties
DOS at the Fermi energy   0.88 states/eV/atom
Energy above the most stable polymorph in this dataset   0.393 eV per atom
Total magnetic moment   0.75 Bohr magnetons per cell
Space group   No. 123
Formation energy (no corrections)   0.0111 eV per atom

***

Record 5
Computed, not measured: a relaxed structure of MgPd at the PBE level of DFT.

The structure in CIF format:
```
data_MgPd
_chemical_formula_sum 'Mg8 Pd8'
_cell_length_a 7.921
_cell_length_b 7.921
_cell_length_c 4.814
_cell_angle_alpha 90.00
_cell_angle_beta 90.00
_cell_angle_gamma 90.00
_symmetry_space_group_name_H-M 'P 1'
_symmetry_Int_Tables_number 1
_symmetry_space_group_name_Hall 'P 1'
loop_
_atom_site_label
_atom_site_fract_x
_atom_site_fract_y
_atom_site_fract_z
Mg1 0.912 0.692 0.500
Pd1 0.597 0.748 0.500
Mg2 0.692 0.912 0.000
Pd2 0.252 0.597 0.500
Mg3 0.088 0.692 0.000
Mg4 0.912 0.308 0.000
Pd3 0.748 0.597 0.000
Pd4 0.252 0.403 0.000
Pd5 0.403 0.252 0.500
Pd6 0.748 0.403 0.500
Pd7 0.403 0.748 0.000
Mg5 0.088 0.308 0.500
Mg6 0.308 0.912 0.500
Mg7 0.692 0.088 0.500
Pd8 0.597 0.252 0.000
Mg8 0.308 0.088 0.000
```

## Properties
DOS at the Fermi energy   0.39 states/eV/atom
Total magnetic moment   0.00 Bohr magnetons per cell
Total energy   -3.75 eV/atom
Space group   No. 124

***

Record 6
Computed, not measured: a relaxed structure of RbBi2C at the PBE level of DFT.

The structure in CIF format:
```
data_RbBi2C
_chemical_formula_sum 'Rb2 Bi4 C2'
_cell_length_a 7.921
_cell_length_b 7.921
_cell_length_c 6.882
_cell_angle_alpha 54.87
_cell_angle_beta 54.87
_cell_angle_gamma 90.00
_symmetry_space_group_name_H-M 'P 1'
_symmetry_Int_Tables_number 1
_symmetry_space_group_name_Hall 'P 1'
loop_
_atom_site_label
_atom_site_fract_x
_atom_site_fract_y
_atom_site_fract_z
C1 0.250 0.750 0.500
Bi1 0.875 0.748 0.750
Bi2 0.498 0.125 0.250
C2 0.500 0.500 0.000
Rb1 0.750 0.250 0.500
Rb2 0.000 0.000 0.000
Bi3 0.375 0.502 0.750
Bi4 0.252 0.625 0.250
```

## Properties
DOS at the Fermi energy   0.69 states/eV/atom
Total magnetic moment   0.00 Bohr magnetons per cell
Total energy   -3.68 eV/atom
Space group   No. 122

***

Record 7
Computed, not measured: a relaxed structure of SrMg2NiH8 at the PBE level of DFT.

The structure in CIF format:
```
data_SrMg2NiH8
_chemical_formula_sum 'Sr1 Mg2 Ni1 H8'
_cell_length_a 4.384
_cell_length_b 5.013
_cell_length_c 6.465
_cell_angle_alpha 58.32
_cell_angle_beta 89.97
_cell_angle_gamma 90.00
_symmetry_space_group_name_H-M 'P 1'
_symmetry_Int_Tables_number 1
_symmetry_space_group_name_Hall 'P 1'
loop_
_atom_site_label
_atom_site_fract_x
_atom_site_fract_y
_atom_site_fract_z
H1 0.747 0.849 0.914
H2 0.746 0.150 0.087
H3 0.500 0.728 0.537
Ni1 0.000 0.000 0.000
H4 0.000 0.667 0.289
H5 0.000 0.333 0.711
Sr1 0.000 0.000 0.500
Mg1 0.500 0.290 0.766
Mg2 0.500 0.710 0.234
H6 0.500 0.272 0.463
H7 0.254 0.850 0.913
H8 0.253 0.151 0.086
```

## Properties
DOS at the Fermi energy   0.12 states/eV/atom
Total magnetic moment   0.00 Bohr magnetons per cell
Total energy   -3.37 eV/atom
Space group   No. 10

***

Record 8
Computed, not measured: a relaxed structure of NiRu2 at the PBE level of DFT.

The structure in CIF format:
```
data_NiRu2
_chemical_formula_sum 'Ni4 Ru8'
_cell_length_a 5.270
_cell_length_b 3.730
_cell_length_c 7.963
_cell_angle_alpha 90.00
_cell_angle_beta 90.00
_cell_angle_gamma 90.00
_symmetry_space_group_name_H-M 'P 1'
_symmetry_Int_Tables_number 1
_symmetry_space_group_name_Hall 'P 1'
loop_
_atom_site_label
_atom_site_fract_x
_atom_site_fract_y
_atom_site_fract_z
Ru1 0.870 0.750 0.420
Ni1 0.625 0.250 0.589
Ru2 0.630 0.250 0.920
Ru3 0.125 0.250 0.253
Ru4 0.625 0.250 0.247
Ni2 0.375 0.750 0.411
Ni3 0.125 0.250 0.911
Ru5 0.375 0.750 0.753
Ru6 0.370 0.750 0.080
Ru7 0.875 0.750 0.747
Ni4 0.875 0.750 0.089
Ru8 0.130 0.250 0.580
```

## Properties
DOS at the Fermi energy   1.30 states/eV/atom
Energy above the most stable polymorph in this dataset   0.085 eV per atom
Total magnetic moment   0.00 Bohr magnetons per cell
Space group   No. 62

***

Record 9
Computed, not measured: a relaxed structure of MgZrSb2Te at the PBE level of DFT.

The structure in CIF format:
```
data_MgZrSb2Te
_chemical_formula_sum 'Mg1 Zr1 Sb2 Te1'
_cell_length_a 5.587
_cell_length_b 5.587
_cell_length_c 5.549
_cell_angle_alpha 90.00
_cell_angle_beta 90.00
_cell_angle_gamma 90.00
_symmetry_space_group_name_H-M 'P 1'
_symmetry_Int_Tables_number 1
_symmetry_space_group_name_Hall 'P 1'
loop_
_atom_site_label
_atom_site_fract_x
_atom_site_fract_y
_atom_site_fract_z
Mg1 0.500 0.500 0.500
Te1 0.000 0.000 0.500
Sb1 0.000 0.500 0.000
Sb2 0.500 0.000 0.000
Zr1 0.000 0.000 0.000
```

## Properties
DOS at the Fermi energy   1.11 states/eV/atom
Energy above the most stable polymorph in this dataset   0.000 eV per atom
Total magnetic moment   0.00 Bohr magnetons per cell
Space group   No. 123
Formation energy (no corrections)   0.1228 eV per atom

***

Record 10
Computed, not measured: a relaxed structure of RbTl3Rh at the PBE level of DFT.

The structure in CIF format:
```
data_RbTl3Rh
_chemical_formula_sum 'Rb2 Tl6 Rh2'
_cell_length_a 7.510
_cell_length_b 7.510
_cell_length_c 7.510
_cell_angle_alpha 61.40
_cell_angle_beta 61.40
_cell_angle_gamma 61.40
_symmetry_space_group_name_H-M 'P 1'
_symmetry_Int_Tables_number 1
_symmetry_space_group_name_Hall 'P 1'
loop_
_atom_site_label
_atom_site_fract_x
_atom_site_fract_y
_atom_site_fract_z
Rb1 0.902 0.902 0.902
Tl1 0.569 0.569 0.128
Rh1 0.690 0.690 0.690
Tl2 0.872 0.431 0.431
Tl3 0.431 0.872 0.431
Rh2 0.310 0.310 0.310
Tl4 0.431 0.431 0.872
Rb2 0.098 0.098 0.098
Tl5 0.128 0.569 0.569
Tl6 0.569 0.128 0.569
```

## Properties
DOS at the Fermi energy   0.48 states/eV/atom
Energy above the most stable polymorph in this dataset   0.064 eV per atom
Total magnetic moment   0.00 Bohr magnetons per cell
Space group   No. 166

***

Record 11
Computed, not measured: a relaxed structure of NdErAg at the PBE level of DFT.

The structure in CIF format:
```
data_NdErAg
_chemical_formula_sum 'Nd2 Er2 Ag2'
_cell_length_a 4.820
_cell_length_b 4.820
_cell_length_c 7.494
_cell_angle_alpha 90.00
_cell_angle_beta 90.00
_cell_angle_gamma 90.00
_symmetry_space_group_name_H-M 'P 1'
_symmetry_Int_Tables_number 1
_symmetry_space_group_name_Hall 'P 1'
loop_
_atom_site_label
_atom_site_fract_x
_atom_site_fract_y
_atom_site_fract_z
Ag1 0.500 0.000 0.735
Nd1 0.000 0.500 0.873
Er1 0.500 0.500 0.500
Ag2 0.000 0.500 0.265
Nd2 0.500 0.000 0.127
Er2 0.000 0.000 0.500
```

## Properties
DOS at the Fermi energy   1.34 states/eV/atom
Energy above the most stable polymorph in this dataset   0.035 eV per atom
Total magnetic moment   0.00 Bohr magnetons per cell
Space group   No. 129

***

Record 12
Computed, not measured: a relaxed structure of VNiSbOs2 at the PBE level of DFT.

The structure in CIF format:
```
data_VNiSbOs2
_chemical_formula_sum 'V1 Ni1 Sb1 Os2'
_cell_length_a 4.489
_cell_length_b 4.869
_cell_length_c 4.489
_cell_angle_alpha 90.00
_cell_angle_beta 90.00
_cell_angle_gamma 90.00
_symmetry_space_group_name_H-M 'P 1'
_symmetry_Int_Tables_number 1
_symmetry_space_group_name_Hall 'P 1'
loop_
_atom_site_label
_atom_site_fract_x
_atom_site_fract_y
_atom_site_fract_z
Ni1 0.500 0.500 0.500
Sb1 0.000 0.500 0.000
V1 0.000 0.000 0.000
Os1 0.000 0.000 0.500
Os2 0.500 0.000 0.000
```

## Properties
DOS at the Fermi energy   1.21 states/eV/atom
Total magnetic moment   1.13 Bohr magnetons per cell
Space group   No. 123
Formation energy (no corrections)   1.6326 eV per atom

***

Which of these has the lowest DOS at the Fermi energy?
SrMg2NiH8

***

Copy entry 3 word for word.
Computed, not measured: a relaxed structure of Dy2TaSi4Pt3 at the PBE level of DFT.

The structure in CIF format:
```
data_Dy2TaSi4Pt3
_chemical_formula_sum 'Dy2 Ta1 Si4 Pt3'
_cell_length_a 4.160
_cell_length_b 4.160
_cell_length_c 10.319
_cell_angle_alpha 90.00
_cell_angle_beta 90.00
_cell_angle_gamma 90.00
_symmetry_space_group_name_H-M 'P 1'
_symmetry_Int_Tables_number 1
_symmetry_space_group_name_Hall 'P 1'
loop_
_atom_site_label
_atom_site_fract_x
_atom_site_fract_y
_atom_site_fract_z
Si1 0.000 0.500 0.354
Si2 0.500 0.500 0.000
Si3 0.000 0.000 0.000
Dy1 0.000 0.500 0.761
Pt1 0.000 0.500 0.121
Pt2 0.500 0.000 0.879
Ta1 0.500 0.500 0.500
Pt3 0.000 0.000 0.500
Dy2 0.500 0.000 0.239
Si4 0.500 0.000 0.646
```

## Properties
DOS at the Fermi energy   0.39 states/eV/atom
Total magnetic moment   0.00 Bohr magnetons per cell
Space group   No. 115
Formation energy (no corrections)   -0.9529 eV per atom

***

Which formula does entry 12 have?
VNiSbOs2

***

The highest total magnetic moment belongs to which entry?
VNiSbOs2